Entry 1:
Below is a relaxed structure of Mg3ZnIn3, with properties calculated at the PBE level.

```
Mg3ZnIn3
1.0
4.925 -4.815 0.000
4.925 4.815 0.000
-0.002 0.000 6.781
Mg Zn In
6 2 6
Direct
0.000 0.000 0.233
0.000 0.000 0.767
0.000 0.500 0.232
0.000 0.500 0.768
0.500 0.000 0.232
0.500 0.000 0.768
0.250 0.250 0.999
0.750 0.750 0.001
0.260 0.260 0.501
0.287 0.713 0.500
0.331 0.669 0.000
0.669 0.331 0.000
0.713 0.287 0.500
0.740 0.740 0.499
```

Summary:
DOS(E_F): 0.349 states/eV/atom
DFT formation energy: -0.038 eV per atom
V: 22.97 Å³ per atom

***

Entry 2:
Below is a relaxed structure of LiPtI, with properties calculated at the PBE level.

```
LiPtI
1.0
4.479 0.000 0.000
-2.237 3.881 0.000
-1.786 -1.452 8.953
Li Pt I
2 2 2
Direct
0.000 0.000 0.000
0.190 0.122 0.326
0.428 0.727 0.163
0.761 0.394 0.163
0.255 0.617 0.867
0.601 0.838 0.459
```

Summary:
E above lowest polymorph: 14.5 kJ/mol of formula units
DOS(E_F): 0.000 states/eV/atom
V: 25.93 Å³ per atom

***

Entry 3:
Below is a relaxed structure of PmZnSi2Pd5, with properties calculated at the PBE level.

```
PmZnSi2Pd5
1.0
4.673 0.000 0.000
0.000 4.673 0.000
0.000 0.000 7.136
Pm Zn Si Pd
1 1 2 5
Direct
0.000 0.000 0.000
0.000 0.000 0.500
0.500 0.500 0.342
0.500 0.500 0.658
0.000 0.500 0.272
0.000 0.500 0.728
0.500 0.000 0.272
0.500 0.000 0.728
0.500 0.500 0.000
```

Summary:
DOS(E_F): 0.416 states/eV/atom
VASP energy: -47.9 eV/f.u.
V: 17.31 Å³ per atom

***

Entry 4:
Below is a relaxed structure of ScCoSb2, with properties calculated at the PBE level.

```
ScCoSb2
1.0
3.495 -2.017 0.000
3.495 2.017 0.000
-2.319 0.000 5.886
Sc Co Sb
1 1 2
Direct
0.000 0.000 0.000
0.500 0.500 0.500
0.233 0.233 0.699
0.767 0.767 0.301
```

Summary:
DOS(E_F): 0.366 states/eV/atom
VASP energy: -23.0 eV/f.u.
V: 20.75 Å³ per atom

***

Entry 5:
Below is a relaxed structure of AlInNiS4, with properties calculated at the PBE level.

```
AlInNiS4
1.0
-3.614 3.652 5.146
3.614 -3.652 5.146
3.614 3.652 -5.146
Al In Ni S
2 2 2 8
Direct
0.380 0.130 0.250
0.620 0.870 0.750
0.000 0.500 0.500
0.500 0.500 0.000
0.000 0.000 0.500
0.000 0.500 0.000
0.226 0.248 0.979
0.231 0.752 0.479
0.236 0.231 0.495
0.236 0.740 0.005
0.764 0.260 0.995
0.764 0.769 0.505
0.769 0.248 0.521
0.774 0.752 0.021
```

Summary:
DOS(E_F): 0.195 states/eV/atom
VASP energy: -32.7 eV/f.u.
V: 19.40 Å³ per atom

***

Entry 6:
Below is a relaxed structure of GeB3Rh, with properties calculated at the PBE level.

```
GeB3Rh
1.0
4.036 0.000 0.000
0.000 4.036 0.000
0.000 0.000 4.036
Ge B Rh
1 3 1
Direct
0.000 0.000 0.000
0.000 0.000 0.500
0.000 0.500 0.000
0.500 0.000 0.000
0.500 0.500 0.500
```

Summary:
E above lowest polymorph: 381.8 kJ/mol of formula units
DOS(E_F): 0.620 states/eV/atom
DFT formation energy: 1.989 eV per atom
V: 13.15 Å³ per atom

***

- DOS(E_F) of number 1 (Mg3ZnIn3)?
  0.349 states/eV/atom

***

- Which of these has the lowest DOS(E_F)?
  LiPtI

***

- DOS(E_F) of number 2 (LiPtI)?
  0.000 states/eV/atom